Entry from OQMD: crystalline HoCoB5O10 at its relaxed geometry (PBE with a Hubbard U).

E (eV/atom): -7.9206
Total magnetic moment (μB per cell): 12.00
Mass density (Mg/m³): 4.87

Structure (POSCAR):
```
HoCoB5O10
1.0
8.4573 0.0000 0.0000
0.0000 7.5613 0.0000
-7.7696 0.0000 9.3403
Ho Co B O
4 4 20 40
Direct
0.0589 0.1833 0.2400
0.0589 0.3167 0.7400
0.9411 0.6833 0.2600
0.9411 0.8167 0.7600
0.4678 0.5957 0.8692
0.4678 0.9043 0.3692
0.5322 0.0957 0.6308
0.5322 0.4043 0.1308
0.0827 0.6750 0.6035
0.0827 0.8250 0.1035
0.1510 0.6011 0.9902
0.1510 0.8989 0.4902
0.2790 0.0327 0.0555
0.2790 0.4673 0.5555
0.3370 0.5735 0.2535
0.3370 0.9265 0.7535
0.4756 0.1894 0.9106
0.4756 0.3106 0.4106
0.5244 0.6894 0.5894
0.5244 0.8106 0.0894
0.6630 0.0735 0.2465
0.6630 0.4265 0.7465
0.7210 0.5327 0.4445
0.7210 0.9673 0.9445
0.8490 0.1011 0.5098
0.8490 0.3989 0.0098
0.9173 0.1750 0.8965
0.9173 0.3250 0.3965
0.0220 0.7301 0.9772
0.0220 0.7699 0.4772
0.0991 0.1102 0.9186
0.0991 0.3898 0.4186
0.1128 0.5546 0.8685
0.1128 0.9454 0.3685
0.1890 0.7051 0.2283
0.1890 0.7949 0.7283
0.2292 0.5265 0.6480
0.2292 0.9735 0.1480
0.3080 0.5328 0.1217
0.3080 0.9672 0.6217
0.3105 0.0938 0.7996
0.3105 0.4062 0.2996
0.3289 0.6263 0.5090
0.3289 0.8737 0.0090
0.4180 0.1495 0.4271
0.4180 0.3505 0.9271
0.4575 0.1493 0.1394
0.4575 0.3507 0.6394
0.5425 0.6493 0.3606
0.5425 0.8507 0.8606
0.5820 0.6495 0.0729
0.5820 0.8505 0.5729
0.6711 0.1263 0.9910
0.6711 0.3737 0.4910
0.6895 0.5938 0.7004
0.6895 0.9062 0.2004
0.6920 0.0328 0.3783
0.6920 0.4672 0.8783
0.7708 0.0265 0.8520
0.7708 0.4735 0.3520
0.8110 0.2051 0.2717
0.8110 0.2949 0.7717
0.8872 0.0546 0.6315
0.8872 0.4454 0.1315
0.9009 0.6102 0.5814
0.9009 0.8898 0.0814
0.9780 0.2301 0.5228
0.9780 0.2699 0.0228
```